The following is a SCAN calculation of a PBEsol-optimized structure of ZrOs2W, from Alexandria.

Calculated values
As for the electronic total energy: -243.84 eV for the cell shown. The formation enthalpy at 0 K comes out at 0.08 eV per atom. The density of states at the Fermi level is 3.4 states/eV/f.u. As for the symmetry: C2/m.

a = 5.169 Å, b = 5.169 Å, c = 2.784 Å
α = 101.02°, β = 101.02°, γ = 114.56°
Positions (direct):
Zr 0.000 0.000 0.000
Os 0.000 0.500 0.500
Os 0.500 0.000 0.500
W 0.500 0.500 0.000